Compound: AlVCdAg2
Source: Alexandria
Functional: GGA-PBE
Structure: relaxed

The density of states at the Fermi level comes out at 0.805 states/eV/atom. As for the total energy: -16.02 eV per formula unit. For the total magnetic moment, the calculation gives 0.54 μB per atom. The formation energy comes out at 691 meV per atom.

Cell lengths 4.8010, 4.8575, 4.8010 Å; angles 90.00, 90.00, 90.00 degrees
Each line ends with the local moment (μB).
Sites, in units of the cell vectors:
Ag (0.5000, 0.0000, 0.0000)  -0.03
Ag (0.0000, 0.0000, 0.5000)  -0.03
V (0.0000, 0.5000, 0.0000)  2.39
Al (0.0000, 0.0000, 0.0000)  -0.02
Cd (0.5000, 0.5000, 0.5000)  -0.03